No. 1
Below is a relaxed LiTl2ZnCl5 crystal, with properties calculated at the PBE level.

Unit cell a=9.8150 b=9.8150 c=13.3436 alpha=90.00 beta=90.00 gamma=157.12
Fractional coordinates of all 18 atoms:
1 Li 0.2174 0.7826 0.5000
2 Li 0.7826 0.2174 0.0000
3 Tl 0.1333 0.8667 0.1421
4 Tl 0.1354 0.8646 0.7816
5 Tl 0.8646 0.1354 0.2816
6 Tl 0.8667 0.1333 0.6421
7 Zn 0.4360 0.5640 0.8985
8 Zn 0.5640 0.4360 0.3985
9 Cl 0.0418 0.9582 0.4932
10 Cl 0.2930 0.7070 0.1185
11 Cl 0.3201 0.6799 0.8613
12 Cl 0.3408 0.6592 0.4689
13 Cl 0.4987 0.5013 0.7558
14 Cl 0.5013 0.4987 0.2558
15 Cl 0.6592 0.3408 0.9689
16 Cl 0.6799 0.3201 0.3613
17 Cl 0.7070 0.2930 0.6185
18 Cl 0.9582 0.0418 0.9932

Values from the calculation:
The value obtained for the uncorrected formation energy is -1.231 eV per atom. The calculation puts the magnetization at 0.000 μB per atom. Its density of states at the Fermi level is 0.00 states/eV per cell. The calculation puts the theoretical density at 4.38 g cm⁻³.

No. 2
Below is a relaxed Li3Tl3ZnCl8 crystal, with properties calculated at the PBE level.

Unit cell a=8.6310 b=8.6310 c=8.6310 alpha=52.82 beta=52.82 gamma=52.82
Fractional coordinates of all 15 atoms:
1 Li 0.0000 0.5000 0.5000
2 Li 0.5000 0.0000 0.5000
3 Li 0.5000 0.5000 0.0000
4 Tl 0.0000 0.0000 0.5000
5 Tl 0.0000 0.5000 0.0000
6 Tl 0.5000 0.0000 0.0000
7 Zn 0.0000 0.0000 0.0000
8 Cl 0.2208 0.2208 0.7431
9 Cl 0.2208 0.7431 0.2208
10 Cl 0.2569 0.7792 0.7792
11 Cl 0.2707 0.2707 0.2707
12 Cl 0.7293 0.7293 0.7293
13 Cl 0.7431 0.2208 0.2208
14 Cl 0.7792 0.2569 0.7792
15 Cl 0.7792 0.7792 0.2569

Values from the calculation:
The value obtained for the uncorrected formation energy is -1.306 eV per atom. The calculation puts the magnetization at 0.000 μB per atom. Its density of states at the Fermi level is 0.00 states/eV per cell. The calculation puts the theoretical density at 4.32 g cm⁻³.

No. 3
Below is a relaxed LiTlZnCl4 crystal, with properties calculated at the PBE level.

Unit cell a=6.2989 b=7.0945 c=8.7021 alpha=90.00 beta=104.44 gamma=90.00
Fractional coordinates of all 14 atoms:
1 Li 0.1329 0.2500 0.4976
2 Li 0.8671 0.7500 0.5024
3 Tl 0.2328 0.2500 0.0541
4 Tl 0.7672 0.7500 0.9459
5 Zn 0.2417 0.7500 0.3177
6 Zn 0.7583 0.2500 0.6823
7 Cl 0.0177 0.0098 0.7007
8 Cl 0.0177 0.4902 0.7007
9 Cl 0.3329 0.7500 0.0815
10 Cl 0.4947 0.2500 0.4556
11 Cl 0.5053 0.7500 0.5444
12 Cl 0.6671 0.2500 0.9185
13 Cl 0.9823 0.5098 0.2993
14 Cl 0.9823 0.9902 0.2993

Values from the calculation:
The value obtained for the uncorrected formation energy is -1.286 eV per atom. The calculation puts the magnetization at 0.000 μB per atom. Its density of states at the Fermi level is 0.00 states/eV per cell. The calculation puts the theoretical density at 3.69 g cm⁻³.

No. 4
Below is a relaxed LiZrTlCl6 crystal, with properties calculated at the PBE level.

Unit cell a=6.6765 b=6.6765 c=14.0656 alpha=90.00 beta=90.00 gamma=120.00
Fractional coordinates of all 18 atoms:
1 Li 0.3333 0.6667 0.2500
2 Li 0.6667 0.3333 0.7500
3 Zr 0.3333 0.6667 0.7500
4 Zr 0.6667 0.3333 0.2500
5 Tl 0.0000 0.0000 0.0000
6 Tl 0.0000 0.0000 0.5000
7 Cl 0.0118 0.3807 0.6475
8 Cl 0.0118 0.6311 0.8525
9 Cl 0.3689 0.3807 0.8525
10 Cl 0.3689 0.9882 0.6475
11 Cl 0.3807 0.0118 0.1475
12 Cl 0.3807 0.3689 0.3525
13 Cl 0.6193 0.6311 0.6475
14 Cl 0.6193 0.9882 0.8525
15 Cl 0.6311 0.0118 0.3525
16 Cl 0.6311 0.6193 0.1475
17 Cl 0.9882 0.3689 0.1475
18 Cl 0.9882 0.6193 0.3525

Values from the calculation:
The value obtained for the uncorrected formation energy is -1.657 eV per atom. The calculation puts the magnetization at 0.000 μB per atom. Its density of states at the Fermi level is 0.00 states/eV per cell. The calculation puts the theoretical density at 3.15 g cm⁻³.

No. 5
Below is a relaxed LiTm2Cl8 crystal, with properties calculated at the PBE level.

Unit cell a=7.9117 b=7.9117 c=5.1609 alpha=90.06 beta=90.06 gamma=63.98
Fractional coordinates of all 11 atoms:
1 Li 0.0000 0.0000 0.0000
2 Tm 0.3071 0.3071 0.0001
3 Tm 0.6929 0.6929 0.9999
4 Cl 0.0529 0.6709 0.0008
5 Cl 0.2658 0.2658 0.4999
6 Cl 0.3291 0.9471 0.9992
7 Cl 0.5000 0.5000 0.2514
8 Cl 0.5000 0.5000 0.7486
9 Cl 0.6709 0.0529 0.0008
10 Cl 0.7342 0.7342 0.5001
11 Cl 0.9471 0.3291 0.9992

Values from the calculation:
The value obtained for the uncorrected formation energy is -1.897 eV per atom. The calculation puts the magnetization at 0.000 μB per atom. Its density of states at the Fermi level is 1.35 states/eV per cell. The calculation puts the theoretical density at 3.59 g cm⁻³.

No. 6
Below is a relaxed Li4Tm2Cl9 crystal, with properties calculated at the PBE level.

Unit cell a=6.5971 b=6.5971 c=17.7259 alpha=90.00 beta=90.00 gamma=120.00
Fractional coordinates of all 30 atoms:
1 Li 0.3333 0.6667 0.1686
2 Li 0.3333 0.6667 0.4826
3 Li 0.3333 0.6667 0.6686
4 Li 0.3333 0.6667 0.9826
5 Li 0.6667 0.3333 0.0174
6 Li 0.6667 0.3333 0.3314
7 Li 0.6667 0.3333 0.5174
8 Li 0.6667 0.3333 0.8314
9 Tm 0.0000 0.0000 0.1576
10 Tm 0.0000 0.0000 0.3424
11 Tm 0.0000 0.0000 0.6576
12 Tm 0.0000 0.0000 0.8424
13 Cl 0.0000 0.3269 0.2500
14 Cl 0.0000 0.6731 0.7500
15 Cl 0.0206 0.3560 0.5840
16 Cl 0.0206 0.6646 0.0840
17 Cl 0.3269 0.0000 0.2500
18 Cl 0.3269 0.3269 0.7500
19 Cl 0.3354 0.3560 0.0840
20 Cl 0.3354 0.9794 0.5840
21 Cl 0.3560 0.0206 0.9160
22 Cl 0.3560 0.3354 0.4160
23 Cl 0.6440 0.6646 0.5840
24 Cl 0.6440 0.9794 0.0840
25 Cl 0.6646 0.0206 0.4160
26 Cl 0.6646 0.6440 0.9160
27 Cl 0.6731 0.0000 0.7500
28 Cl 0.6731 0.6731 0.2500
29 Cl 0.9794 0.3354 0.9160
30 Cl 0.9794 0.6440 0.4160

Values from the calculation:
The value obtained for the uncorrected formation energy is -1.916 eV per atom. The calculation puts the magnetization at 0.067 μB per atom. The calculation puts the theoretical density at 3.40 g cm⁻³.

Look up the magnetization of the fourth one. 0.000 μB per atom